1.
## Y2TiCu (PBE)

Data for Y2TiCu after structural relaxation.

The space group is I-42d (No. 122) and the conventional cell measures 7.954, 7.954 and 6.104 Å, with angles of 90.00, 90.00 and 90.00 degrees. The distinct sites, in fractional coordinates, are Y at (0.206, 0.250, 0.125), Ti at (0.000, 0.000, 0.500) and Cu at (0.000, 0.000, 0.000).

The formation energy is 0.359 eV/atom. As for the total DFT energy (no corrections): -5.87 eV/atom. The energy above the most stable polymorph in this dataset comes out at 0.332 eV/atom.

***

2.
## YTiBiPd2 (PBE)

Data for YTiBiPd2 after structural relaxation.

The space group is P4/mmm (No. 123) and the conventional cell measures 5.074, 5.074 and 5.658 Å, with angles of 90.00, 90.00 and 90.00 degrees. The distinct sites, in fractional coordinates, are Y at (0.000, 0.000, 0.000), Ti at (0.500, 0.500, 0.000), Bi at (0.000, 0.000, 0.500) and Pd at (0.000, 0.500, 0.500).

The formation energy is 0.704 eV/atom. As for the total DFT energy (no corrections): -5.02 eV/atom.

***

What is the total DFT energy (no corrections) in the second record?
-5.02 eV/atom